TaGaOF2 PBE relaxed; total energy = -5.3181 eV/atom; formation energy from raw total energies = -290 kJ/mol of formula units; V = 13.8 Å³/atom; symmetry = P4/mmm, No. 123; distance to the lowest polymorph of the same formula = 1163 meV per atom; N(E_F) = 3.26 states/eV/cell
1.0
4.458 0.000 0.000
0.000 4.458 0.000
0.000 0.000 3.472
Ta F Ga O
1 2 1 1
Direct
0.500 0.500 0.500
0.500 0.000 0.000
0.000 0.500 0.000
0.000 0.000 0.000
0.000 0.000 0.500

TaGaOF2 PBE relaxed; total energy = -6.4810 eV/atom; formation energy from raw total energies = -851 kJ/mol of formula units; V = 15.0 Å³/atom; symmetry = P4/mmm, No. 123; distance to the lowest polymorph of the same formula = 0 meV per atom; N(E_F) = 2.18 states/eV/cell
1.0
-2.929 -2.829 1.520
3.157 -2.159 2.067
-0.539 2.281 3.206
F Ga Ta O
2 1 1 1
Direct
0.500 0.000 0.000
0.000 0.500 0.000
0.500 0.500 0.500
0.000 0.000 0.000
0.000 0.000 0.500

TaGaO2F PBE relaxed; total energy = -7.3111 eV/atom; formation energy from raw total energies = -954 kJ/mol of formula units; V = 13.8 Å³/atom; symmetry = P4/mmm, No. 123; N(E_F) = 1.54 states/eV/cell
1.0
-0.726 2.060 3.369
-3.860 -1.096 -0.161
0.893 -3.486 2.324
O F Ga Ta
2 1 1 1
Direct
0.500 0.000 0.000
0.000 0.500 0.000
0.000 0.000 0.500
0.500 0.500 0.500
0.000 0.000 0.000

TaGaO2F PBE relaxed; total energy = -6.0676 eV/atom; formation energy from raw total energies = -354 kJ/mol of formula units; V = 11.8 Å³/atom; symmetry = P4/mmm, No. 123; N(E_F) = 4.17 states/eV/cell
1.0
3.942 0.000 0.000
0.000 3.942 0.000
0.000 0.000 3.796
O F Ga Ta
2 1 1 1
Direct
0.500 0.000 0.000
0.000 0.500 0.000
0.000 0.000 0.500
0.000 0.000 0.000
0.500 0.500 0.500

Q: N(E_F) of number 2 (TaGaOF2)?
A: 2.18 states/eV/cell